(1)
7
Lattice="4.5634 0.8966 -1.6504 0.5427 4.6189 -1.6504 -0.9345 -1.0093 7.9755" Properties=species:S:1:pos:R:3 comment="PBE Y2AlPt4, optimized geometry" sg="No. 12" dos_ef_per_ev_cell=3.8 e_tot_ev_per_cell=-47.698 total_magnetization_mub_per_atom=0.00 e_form_ev_per_fu=-6.86 pbc="T T T"
Y 1.0534 1.1380 4.5537
Y 3.1182 3.3683 0.1210
Pt 0.2714 2.3095 -0.8252
Pt 2.8264 3.0531 3.0589
Pt 1.3453 1.4531 1.6158
Pt 2.2817 0.4483 -0.8252
Al 0.0000 0.0000 0.0000

(2)
16
Lattice="4.0948 0.0000 0.0000 0.0000 4.0948 0.0000 0.0000 0.0000 16.1786" Properties=species:S:1:pos:R:3 comment="PBE Y3AlPt12, optimized geometry" sg="No. 123" dos_ef_per_ev_cell=14.5 e_tot_ev_per_cell=-110.229 total_magnetization_mub_per_atom=0.00 e_form_ev_per_fu=-14.60 pbc="T T T"
Pt 0.0000 2.0474 14.3574
Pt 0.0000 2.0474 10.1675
Pt 2.0474 0.0000 14.3574
Pt 2.0474 0.0000 6.0111
Pt 2.0474 0.0000 10.1675
Pt 2.0474 0.0000 1.8212
Pt 2.0474 2.0474 0.0000
Pt 0.0000 2.0474 1.8212
Pt 0.0000 2.0474 6.0111
Pt 2.0474 2.0474 12.2657
Pt 2.0474 2.0474 3.9129
Pt 2.0474 2.0474 8.0893
Y 0.0000 0.0000 8.0893
Y 0.0000 0.0000 3.9472
Y 0.0000 0.0000 12.2314
Al 0.0000 0.0000 0.0000

(3)
8
Lattice="4.1240 0.0000 1.2173 1.8823 3.6693 1.2173 -0.3726 -0.2276 8.8563" Properties=species:S:1:pos:R:3 comment="PBE YAl3Pt4, optimized geometry" sg="No. 166" dos_ef_per_ev_cell=2.2 e_tot_ev_per_cell=-50.733 total_magnetization_mub_per_atom=0.00 e_form_ev_per_fu=-8.88 pbc="T T T"
Pt 5.0458 3.0826 5.6885
Pt 0.5879 0.3591 5.6025
Pt 2.1203 1.2953 8.0050
Pt 3.5134 2.1464 3.2859
Al 1.3631 0.8327 2.9764
Al 4.2706 2.6090 8.3146
Al 2.8168 1.7209 5.6455
Y 0.0000 0.0000 0.0000

(4)
5
Lattice="4.7810 0.0000 0.0000 0.0000 4.7810 0.0000 0.0000 0.0000 4.7810" Properties=species:S:1:pos:R:3 comment="PBE YAl3Pt, optimized geometry" sg="No. 221" dos_ef_per_ev_cell=4.0 e_tot_ev_per_cell=-25.387 total_magnetization_mub_per_atom=0.00 e_form_ev_per_fu=-1.65 pbc="T T T"
Al 2.3905 0.0000 0.0000
Al 0.0000 2.3905 0.0000
Al 0.0000 0.0000 2.3905
Y 2.3905 2.3905 2.3905
Pt 0.0000 0.0000 0.0000

(5)
16
Lattice="5.2962 0.0000 0.0000 0.0000 5.4857 0.0000 0.0000 0.0000 12.2354" Properties=species:S:1:pos:R:3 comment="PBE YAlPt2, optimized geometry" sg="No. 51" dos_ef_per_ev_cell=10.3 e_tot_ev_per_cell=-100.011 total_magnetization_mub_per_atom=0.00 e_form_ev_per_fu=-2.71 pbc="T T T"
Y 0.0000 4.1143 5.2402
Y 0.0000 1.3714 6.9952
Y 2.6481 4.1143 1.1962
Y 2.6481 1.3714 11.0392
Al 2.6481 1.3714 4.0164
Al 0.0000 4.1143 8.3168
Al 2.6481 4.1143 8.2189
Al 0.0000 1.3714 3.9185
Pt 1.3474 4.1143 10.3496
Pt 3.9488 1.3714 1.8858
Pt 0.0000 2.7429 0.0000
Pt 2.6481 2.7429 6.1177
Pt 3.9488 4.1143 10.3496
Pt 0.0000 0.0000 0.0000
Pt 2.6481 0.0000 6.1177
Pt 1.3474 1.3714 1.8858

(6)
14
Lattice="4.1234 0.0000 1.0402 1.5149 7.5516 2.6877 0.0848 0.0823 8.3566" Properties=species:S:1:pos:R:3 comment="PBE Y3Al7Pt4, optimized geometry" sg="No. 12" dos_ef_per_ev_cell=5.9 e_tot_ev_per_cell=-84.032 total_magnetization_mub_per_atom=0.00 e_form_ev_per_fu=-14.28 pbc="T T T"
Al 3.1000 1.2732 5.0971
Al 1.5744 4.6368 2.4517
Al 3.2850 5.9420 4.3638
Al 2.4381 1.6919 7.7207
Al 0.0000 0.0000 0.0000
Al 4.1487 2.9972 9.6329
Al 2.6231 6.3607 6.9874
Pt 3.4382 3.4885 3.7567
Pt 2.2850 4.1455 8.3279
Pt 0.7011 0.8516 5.9137
Pt 5.0221 6.7824 6.1708
Y 1.5713 1.4425 2.4641
Y 0.7998 3.8170 5.5221
Y 4.1518 6.1914 9.6204

(7)
10
Lattice="-1.7739 6.5444 1.0092 -2.5168 0.3000 -6.3694 -4.0830 -1.3457 1.5500" Properties=species:S:1:pos:R:3 comment="PBE Y2Al2Pt, optimized geometry" sg="No. 127" dos_ef_per_ev_cell=9.0 e_above_lowest_polymorph_ev_per_atom=0.000 e_tot_ev_per_cell=-60.286 total_magnetization_mub_per_atom=0.00 e_form_ev_per_fu=-3.69 pbc="T T T"
Y -4.3456 4.8600 -0.4909
Y -4.0280 0.6386 -3.3194
Y -5.3192 3.9590 -3.8377
Y -3.0545 1.5396 0.0274
Pt 0.0000 0.0000 0.0000
Pt -2.1453 3.4222 -2.6801
Al -2.8148 2.6327 -5.1291
Al -1.4759 4.2116 -0.2312
Al -1.1564 1.0071 -2.1719
Al -3.1343 5.8373 -3.1883

(8)
5
Lattice="-1.5583 2.5698 2.9824 -3.5726 0.4182 -2.2332 -4.6569 -2.7515 2.9337" Properties=species:S:1:pos:R:3 comment="PBE YAl3Pt, optimized geometry" sg="No. 42" dos_ef_per_ev_cell=2.3 e_tot_ev_per_cell=-27.873 total_magnetization_mub_per_atom=0.00 e_form_ev_per_fu=-4.14 pbc="T T T"
Al -3.7603 -0.5765 0.6460
Al -3.8849 2.0305 1.3390
Al -6.3255 0.9178 1.0205
Y -5.6104 -1.4718 3.4502
Pt -6.0496 -1.3848 0.1435

(9)
5
Lattice="-3.5378 -0.5603 2.9513 2.5048 -3.0673 2.4203 1.6583 3.4377 2.6405" Properties=species:S:1:pos:R:3 comment="PBE YAlPt3, optimized geometry" sg="No. 221" dos_ef_per_ev_cell=2.5 e_above_lowest_polymorph_ev_per_atom=0.165 e_tot_ev_per_cell=-31.148 total_magnetization_mub_per_atom=0.00 e_form_ev_per_fu=-2.82 pbc="T T T"
Pt 0.8292 1.7189 1.3202
Pt -1.7689 -0.2801 1.4757
Pt 1.2524 -1.5336 1.2101
Y 0.3127 -0.0949 4.0060
Al 0.0000 0.0000 0.0000

(10)
12
Lattice="-3.4091 -2.9470 -3.2922 5.4363 -1.2434 0.2138 -1.4658 -5.3275 6.2868" Properties=species:S:1:pos:R:3 comment="PBE Y2AlPt3, optimized geometry" sg="No. 194" dos_ef_per_ev_cell=9.2 e_tot_ev_per_cell=-83.671 total_magnetization_mub_per_atom=0.00 e_form_ev_per_fu=-7.04 pbc="T T T"
Y 1.6711 -4.7800 2.5485
Y -1.1096 -4.7379 0.6600
Y 1.1060 -6.8338 4.9721
Y -0.5445 -2.6841 -1.7636
Pt 3.5850 -2.8612 1.1970
Pt -1.3313 -5.1938 3.6457
Pt 1.8928 -4.3241 -0.4372
Pt -0.3250 -7.2739 2.1176
Pt -3.0235 -6.6567 2.0115
Pt 0.8865 -2.2440 1.0908
Al -0.7329 -2.6638 3.1434
Al 0.0000 0.0000 0.0000

(11)
4
Lattice="-3.2001 -0.9103 -0.3055 0.2877 -1.9231 2.7173 -1.8730 5.2670 3.9258" Properties=species:S:1:pos:R:3 comment="PBE YAl2Pt, optimized geometry" sg="No. 99" dos_ef_per_ev_cell=2.2 e_tot_ev_per_cell=-22.742 total_magnetization_mub_per_atom=0.00 e_form_ev_per_fu=-2.75 pbc="T T T"
Al -0.0873 0.2456 0.1831
Al -1.9716 0.0325 2.2861
Pt -0.8263 2.3236 1.7319
Y -2.8367 2.4655 4.0995

(12)
14
Lattice="-1.3843 1.5389 3.4610 2.6244 -4.9169 0.8865 12.3630 6.9344 1.8617" Properties=species:S:1:pos:R:3 comment="PBE Y3AlPt3, optimized geometry" sg="No. 63" dos_ef_per_ev_cell=7.2 e_tot_ev_per_cell=-98.876 total_magnetization_mub_per_atom=0.00 e_form_ev_per_fu=-8.18 pbc="T T T"
Y 11.1404 1.1909 3.9264
Y 8.3126 2.4830 2.2208
Y 2.4627 2.3654 2.2827
Y 1.7612 -0.9063 3.4569
Y 11.8420 4.4626 2.7523
Y 5.2905 1.0733 3.9883
Pt 5.3778 2.2077 1.1694
Pt 9.5785 3.8273 4.4789
Pt 12.2020 3.5791 5.6386
Pt 4.0247 -0.2710 1.7303
Pt 8.2253 1.3486 5.0398
Pt 1.4011 -0.0228 0.5705
Al -0.6922 0.7694 1.7305
Al 5.4894 4.2366 2.6613